A relaxed SmTmHf crystal. Source: the Alexandria database, functional PBE.

Summary:
Its total magnetization is 0.000 μB per formula unit. For the density of states at the Fermi level, the calculation gives 1.447 states/eV/atom. The calculation puts the energy above the lowest structure with this stoichiometry at 2 meV per atom. As for the density: 9.81 g cm⁻³. As for the space group: I4mm, No. 107. As for the formation energy from the elements: 0.13 eV/atom.

a = 3.354 Å, b = 3.354 Å, c = 7.855 Å
α = 102.33°, β = 102.33°, γ = 90.00°
Positions (direct):
Hf 0.670 0.670 0.341
Tm 0.320 0.320 0.640
Sm 0.010 0.010 0.020